Here is an optimized crystal structure of Rb4Na2H from Alexandria via LeMat-Bulk. Energies are from PBE.

The calculation puts the total energy at -1.372 eV per atom. As for the space-group type: No. 139. The crystal system is tetragonal.

extended XYZ file:
```
7
Lattice="-1.0715 -3.5173 4.7495 5.6629 -1.9924 -0.1979 0.7837 10.8433 4.4088" Properties=species:S:1:pos:R:3 pbc="T T T"
Rb 4.3771 2.7123 6.7940
Rb -0.5357 -1.7586 2.3748
Rb 2.8315 -0.9962 -0.0990
Rb 0.9980 2.6213 2.1664
H 0.0000 0.0000 0.0000
Na 3.2039 -0.3693 4.2473
Na 2.1712 5.7029 4.7131
```

=====

Here is an optimized crystal structure of Ac4PdSeBr2 from Alexandria via LeMat-Bulk. Energies are from PBE.

As for the space-group type: No. 10. The crystal system is monoclinic. The uncorrected formation energy is -1.270 eV/atom.

extended XYZ file:
```
8
Lattice="-3.1919 -2.7931 -1.0330 4.9428 -3.7149 -5.2285 3.8539 -5.8619 3.9414" Properties=species:S:1:pos:R:3 pbc="T T T"
Se 4.3984 -4.7884 -0.6435
Br 3.8539 -5.8619 3.9414
Br 0.3310 -4.3275 1.4542
Pd 4.7294 -9.1159 0.8106
Ac 2.9606 -5.5785 -3.2883
Ac -0.9141 -5.1632 -1.6628
Ac 6.5190 -7.2067 -0.6573
Ac 2.6443 -6.7914 0.9683
```

=====

Here is an optimized crystal structure of MnGaCuIr from Alexandria via LeMat-Bulk. Energies are from PBE.

As for the space-group type: No. 216. As for the formation energy: -0.7 eV/f.u. The crystal system is cubic.

extended XYZ file:
```
4
Lattice="4.2702 0.0000 0.0000 2.1351 3.6981 0.0000 2.1351 1.2327 3.4866" Properties=species:S:1:pos:R:3 pbc="T T T"
Mn 0.0000 0.0000 0.0000
Ga 4.2702 2.4654 1.7433
Ir 6.4053 3.6981 2.6150
Cu 2.1351 1.2327 0.8717
```

=====

Here is an optimized crystal structure of Cs3MnCl6 from Alexandria via LeMat-Bulk. Energies are from PBE.

The polymorph energy (0 for the lowest one) comes out at 0 meV per atom. As for the space-group type: No. 139. The crystal system is tetragonal. The uncorrected formation energy is -1.584 eV/atom.

extended XYZ file:
```
10
Lattice="-5.0309 -6.5727 -0.6911 2.4267 3.4458 7.1571 -2.1495 7.8668 -1.5749" Properties=species:S:1:pos:R:3 pbc="T T T"
Cl 0.2135 8.7145 4.3002
Cl -2.1317 0.3842 -0.6727
Cl -1.8310 -2.1986 4.5464
Cl 0.0637 2.5980 1.2820
Cl -0.7731 -0.9283 1.9196
Cl -5.0487 0.9099 -1.5933
Cs 0.1386 5.6563 2.7911
Cs -3.5209 3.4752 0.2625
Cs -1.2328 1.2647 4.6286
Mn 0.0000 0.0000 0.0000
```

=====

Here is an optimized crystal structure of CsSeBr3 from Alexandria via LeMat-Bulk. Energies are from PBE.

As for the space-group type: No. 227. The crystal system is cubic. The uncorrected formation energy is -0.563 eV/atom.

extended XYZ file:
```
20
Lattice="7.5077 7.5077 0.0000 0.0000 7.5077 7.5077 7.5077 0.0000 7.5077" Properties=species:S:1:pos:R:3 pbc="T T T"
Br 3.7538 3.7538 6.4795
Br 7.5077 12.2897 7.5077
Br 7.5077 7.5077 12.2897
Br 7.5077 2.7256 7.5077
Br 3.7538 1.0282 3.7538
Br 12.2897 7.5077 7.5077
Br 2.7256 7.5077 7.5077
Br 3.7538 3.7538 1.0282
Br 6.4795 3.7538 3.7538
Br 7.5077 7.5077 2.7256
Br 3.7538 6.4795 3.7538
Br 1.0282 3.7538 3.7538
Cs 9.3846 9.3846 9.3846
Cs 9.3846 5.6307 5.6307
Cs 5.6307 5.6307 9.3846
Cs 5.6307 9.3846 5.6307
Se 1.8769 1.8769 1.8769
Se 5.6307 1.8769 5.6307
Se 5.6307 5.6307 1.8769
Se 1.8769 5.6307 5.6307
```

=====

Here is an optimized crystal structure of BaLiTlHg2 from Alexandria via LeMat-Bulk. Energies are from PBE.

The polymorph energy (0 for the lowest one) comes out at 0 meV per atom. As for the space-group type: No. 51. As for the formation energy: -1.8 eV/f.u. The crystal system is orthorhombic.

extended XYZ file:
```
10
Lattice="-4.2494 1.0774 -4.6707 -4.5964 -0.2306 4.1286 0.6220 7.1986 1.0946" Properties=species:S:1:pos:R:3 pbc="T T T"
Tl -6.0679 0.4915 0.2161
Tl -2.7779 0.3553 -0.7581
Li -2.2982 -0.1153 2.0643
Li 0.0000 0.0000 0.0000
Ba -1.8927 3.8090 0.4203
Ba -6.3310 4.2363 0.1323
Hg -4.2338 2.6722 -2.2496
Hg -4.2826 1.9866 2.2872
Hg -3.9899 5.3731 2.8021
Hg -3.9412 6.0587 -1.7346
```

=====

Here is an optimized crystal structure of BAuS2Cl from Alexandria via LeMat-Bulk. Energies are from PBE.

The polymorph energy (0 for the lowest one) comes out at 697 meV per atom. As for the space-group type: No. 123. The crystal system is tetragonal. The uncorrected formation energy is 1.379 eV/atom.

extended XYZ file:
```
5
Lattice="-3.8980 1.8780 2.1551 -2.8425 -2.9314 -2.5870 0.3142 -3.4912 3.6107" Properties=species:S:1:pos:R:3 pbc="T T T"
B -3.2132 -2.2723 1.5894
Au 0.0000 0.0000 0.0000
Cl 0.1571 -1.7456 1.8053
S -1.4213 -1.4657 -1.2935
S -1.9490 0.9390 1.0775
```

=====

Here is an optimized crystal structure of Ac5U2O12 from Alexandria via LeMat-Bulk. Energies are from PBE.

As for the space-group type: No. 12. The crystal system is monoclinic. The uncorrected formation energy is -3.358 eV/atom.

extended XYZ file:
```
19
Lattice="-3.8597 -4.6533 -2.7759 6.2543 1.8613 -3.8451 2.4239 -5.3759 5.6414" Properties=species:S:1:pos:R:3 pbc="T T T"
Ac 1.2120 -2.6880 2.8207
Ac 0.6611 -4.4700 -1.3976
Ac 1.7753 -6.9672 1.2392
Ac 3.0432 -1.2006 -2.2188
Ac 4.1574 -3.6978 0.4180
O -1.2198 -3.9985 -3.2820
O 4.9537 -1.4245 -0.5164
O 3.0249 -3.7498 -1.9035
O 4.7350 -1.4115 -4.2176
O 4.3393 -7.1401 -2.0361
O 1.7937 -4.4180 0.9240
O 0.5762 -1.8332 -1.9904
O 4.2423 -6.3346 1.0108
O -0.1351 -6.7433 -0.4632
O 0.4792 -1.0278 1.0566
O 6.0383 -4.1694 2.3025
O 0.0835 -6.7563 3.2381
U -0.9293 -1.1204 -0.6683
U -2.9304 -3.5329 -2.1075
```

=====

Here is an optimized crystal structure of Y2CrRh from Alexandria via LeMat-Bulk. Energies are from PBE.

The polymorph energy (0 for the lowest one) comes out at 301 meV per atom. As for the space-group type: No. 216. As for the formation energy: 0.3 eV/f.u. The crystal system is cubic.

extended XYZ file:
```
4
Lattice="-0.4041 -4.8416 0.6037 1.0563 -2.0234 4.3311 -3.5856 -1.8285 2.7873" Properties=species:S:1:pos:R:3 pbc="T T T"
Y 0.0000 0.0000 0.0000
Y -0.7333 -2.1734 1.9305
Rh -2.2000 -6.5201 5.7916
Cr -1.4667 -4.3467 3.8611
```

=====

Here is an optimized crystal structure of MgTaSeN2 from Alexandria via LeMat-Bulk. Energies are from PBE.

The polymorph energy (0 for the lowest one) comes out at 1523 meV per atom. As for the space-group type: No. 123. The crystal system is tetragonal. The uncorrected formation energy is 1.281 eV/atom.

extended XYZ file:
```
5
Lattice="3.8729 0.0000 0.0000 0.0000 3.8729 0.0000 0.0000 0.0000 4.8838" Properties=species:S:1:pos:R:3 pbc="T T T"
Mg 0.0000 0.0000 0.0000
N 1.9365 0.0000 0.0000
N 0.0000 1.9365 0.0000
Se 0.0000 0.0000 2.4419
Ta 1.9365 1.9365 2.4419
```

=====

Here is an optimized crystal structure of Pm3Si2Pd7 from Alexandria via LeMat-Bulk. Energies are from PBE.

As for the space-group type: No. 65. The crystal system is orthorhombic. The uncorrected formation energy is -0.693 eV/atom.

extended XYZ file:
```
12
Lattice="-2.3407 -0.0862 -3.2203 1.2766 -4.0377 -0.8198 -11.2830 -2.9444 8.2798" Properties=species:S:1:pos:R:3 pbc="T T T"
Pd -8.0668 -3.7613 5.9640
Pd -1.9396 -3.2208 1.4960
Pd -8.4578 -5.7575 3.8397
Pd -4.4829 -2.0902 3.3143
Pd -5.5235 -4.8919 4.1457
Pd -3.8892 -1.3108 0.4000
Pd 0.0000 0.0000 0.0000
Pm -4.7774 -4.0414 1.1187
Pm -7.5696 -3.0269 3.1210
Pm -0.5320 -2.0619 -2.0200
Si -8.2561 -6.1660 6.1660
Si -1.7502 -0.8161 1.2940
```

=====

Here is an optimized crystal structure of KTaO3 from Alexandria via LeMat-Bulk. Energies are from PBE.

As for the space-group type: No. 119. The crystal system is tetragonal. The uncorrected formation energy is -1.346 eV/atom.

extended XYZ file:
```
10
Lattice="3.6415 0.0000 0.0000 0.0000 3.6415 0.0000 1.8208 1.8208 12.2485" Properties=species:S:1:pos:R:3 pbc="T T T"
O 1.8208 1.8208 4.1482
O 0.9358 3.6415 2.5654
O 1.8208 4.5265 9.6831
O 1.8208 2.7566 9.6831
O 3.6415 3.6415 8.1003
O 2.7057 3.6415 2.5654
Ta 3.6415 1.8208 9.0633
Ta 3.6415 1.8208 3.1852
K 1.8208 3.6415 6.1243
K 0.0000 0.0000 0.0000
```

=====

Here is an optimized crystal structure of Ca2ZnOs from Alexandria via LeMat-Bulk. Energies are from PBE.

As for the space-group type: No. 99. As for the formation energy: 0.7 eV/f.u. The crystal system is tetragonal.

extended XYZ file:
```
4
Lattice="3.4454 0.0000 0.0000 0.0000 3.4454 0.0000 0.0000 0.0000 8.0652" Properties=species:S:1:pos:R:3 pbc="T T T"
Ca 1.7227 1.7227 2.6589
Ca 0.0000 0.0000 7.4333
Os 0.0000 0.0000 4.5930
Zn 1.7227 1.7227 5.4778
```

=====

Here is an optimized crystal structure of B2As2N from Alexandria via LeMat-Bulk. Energies are from PBE.

The polymorph energy (0 for the lowest one) comes out at 250 meV per atom. As for the space-group type: No. 139. The crystal system is tetragonal. The uncorrected formation energy is 1.265 eV/atom.

extended XYZ file:
```
5
Lattice="-0.0842 2.0957 -2.0971 0.8638 -1.9896 -2.0230 -5.5582 -1.3482 -3.2217" Properties=species:S:1:pos:R:3 pbc="T T T"
B -2.6263 0.4003 -3.6894
B -2.1523 -1.6424 -3.6524
N 0.0000 0.0000 0.0000
As -0.9671 -0.2666 -2.3251
As -3.8114 -0.9755 -5.0167
```

=====

Here is an optimized crystal structure of La6SnTe5 from Alexandria via LeMat-Bulk. Energies are from PBE.

As for the space-group type: No. 12. The crystal system is monoclinic. The uncorrected formation energy is -1.490 eV/atom.

extended XYZ file:
```
12
Lattice="7.8825 0.1839 1.1930 1.9283 6.6760 3.8911 0.1304 0.0749 7.9572" Properties=species:S:1:pos:R:3 pbc="T T T"
Te 0.6865 2.2512 3.9477
Te 1.3723 4.4996 7.9006
Te 4.3522 1.2648 6.5309
Te 4.9054 3.4299 2.5420
Te 5.5890 5.6700 6.5104
La 3.1223 4.0088 5.1996
La 6.8189 2.9259 7.8416
La 7.3888 5.1751 3.8337
La 6.1415 0.7105 3.8280
La 3.7997 6.2243 9.2132
La 2.4220 1.6847 1.2504
Sn 0.0000 0.0000 0.0000
```

=====

Here is an optimized crystal structure of PrPu3Ru2 from Alexandria via LeMat-Bulk. Energies are from PBE.

The polymorph energy (0 for the lowest one) comes out at 0 meV per atom. As for the space-group type: No. 12. As for the formation energy: -0.4 eV/f.u. The crystal system is monoclinic.

extended XYZ file:
```
12
Lattice="3.8557 0.0000 1.0615 0.8151 8.2244 4.5727 -0.3793 0.2960 8.9112" Properties=species:S:1:pos:R:3 pbc="T T T"
Pr 0.8532 7.4163 11.9679
Pr 3.4384 1.1041 2.5775
Ru 1.7676 1.4765 8.6465
Ru 3.3858 5.9196 10.3018
Ru 0.9057 2.6008 4.2436
Ru 2.5240 7.0439 5.8989
Pu 4.2350 5.4684 7.2173
Pu 2.9376 4.3291 4.3963
Pu 2.5133 1.1659 5.9376
Pu 1.7782 7.3545 8.6078
Pu 0.0566 3.0521 7.3281
Pu 1.3539 4.1914 10.1491
```

=====

Here is an optimized crystal structure of Ce9TlGa2 from Alexandria via LeMat-Bulk. Energies are from PBE.

As for the space-group type: No. 123. As for the formation energy: -2.4 eV/f.u. The crystal system is tetragonal.

extended XYZ file:
```
12
Lattice="-4.4846 -0.8145 1.1485 -1.1464 -0.1138 -4.5571 2.4512 -13.8771 -0.2703" Properties=species:S:1:pos:R:3 pbc="T T T"
Tl 0.0000 0.0000 0.0000
Ce 1.4451 -11.4831 -2.5011
Ce -2.8155 -0.4641 -1.7043
Ce -1.9884 -5.1467 -1.7955
Ce -1.0167 -7.3458 0.4391
Ce -0.2240 -11.8335 0.3517
Ce 0.6524 -6.9954 -2.4137
Ce -0.1403 -2.5077 -2.3263
Ce -1.1914 -9.6586 -1.8833
Ce -1.8094 -2.8581 0.5265
Ga 0.8265 -4.6790 -0.0911
Ga 1.6247 -9.1980 -0.1791
```

=====

Here is an optimized crystal structure of K4Dy3YSe8 from Alexandria via LeMat-Bulk. Energies are from PBE.

As for the space-group type: No. 166. The crystal system is trigonal. The uncorrected formation energy is -1.767 eV/atom.

extended XYZ file:
```
16
Lattice="-6.1393 -5.4362 1.9440 3.2723 -5.8826 -6.1162 5.2579 2.7369 5.9912" Properties=species:S:1:pos:R:3 pbc="T T T"
K 2.6289 1.3684 2.9956
K -0.4407 -1.3497 3.9676
K -3.0696 -2.7181 0.9720
K 0.0000 0.0000 0.0000
Dy 1.1954 -4.2910 0.9095
Dy 4.2651 -1.5728 -0.0625
Dy -1.4335 -5.6594 -2.0861
Se -0.5066 -3.0939 -1.1079
Se 3.3377 -4.1399 -1.0362
Se 0.2664 -6.8569 -0.0665
Se 2.8975 -5.4880 2.9269
Se -3.5728 -5.8089 -0.1371
Se -0.9468 -4.4420 2.8552
Se 2.1245 -1.7250 1.8855
Se 5.9637 -2.7730 1.9561
Y 1.6361 -2.9413 -3.0581
```

=====

Here is an optimized crystal structure of MgAlHg from Alexandria via LeMat-Bulk. Energies are from PBE.

As for the space-group type: No. 107. As for the formation energy: 0.0 eV/f.u. The crystal system is tetragonal.

extended XYZ file:
```
3
Lattice="-0.5986 5.2513 3.5455 -1.6425 2.8649 5.4405 2.7330 0.1530 1.6981" Properties=species:S:1:pos:R:3 pbc="T T T"
Hg -0.5731 5.4459 6.5422
Al -2.2393 8.1133 8.9833
Mg 1.0633 2.8262 4.1445
```

=====

Here is an optimized crystal structure of Y6IrSe3S2 from Alexandria via LeMat-Bulk. Energies are from PBE.

As for the space-group type: No. 12. The crystal system is monoclinic. The uncorrected formation energy is -1.695 eV/atom.

extended XYZ file:
```
12
Lattice="3.9920 0.0000 0.0000 0.0000 8.1894 0.2583 -1.9960 -2.3947 8.5712" Properties=species:S:1:pos:R:3 pbc="T T T"
Se 0.0000 5.9797 3.1345
Se 1.9960 -0.1850 5.6950
Se 1.9960 4.0947 0.1291
S 1.9960 3.8438 5.8441
S 0.0000 1.9509 2.9854
Y 0.0000 5.8176 6.0410
Y 1.9960 3.8698 3.0627
Y 1.9960 -0.0229 2.7885
Y 0.0000 1.9249 5.7668
Y 1.9960 3.9075 8.7267
Y 0.0000 1.8872 0.1027
Ir 1.9960 0.0000 0.0000
```

=====

Here is an optimized crystal structure of Pm3NdI8 from Alexandria via LeMat-Bulk. Energies are from PBE.

As for the space-group type: No. 12. The crystal system is monoclinic. The uncorrected formation energy is -1.286 eV/atom.

extended XYZ file:
```
12
Lattice="-7.6169 1.1685 3.4349 1.7523 -7.1923 -4.0290 4.0232 1.1420 8.5330" Properties=species:S:1:pos:R:3 pbc="T T T"
I -2.6856 1.7239 8.9680
I -1.8152 -1.8502 6.9657
I -3.8347 -2.4294 2.6845
I -0.0262 -3.0316 0.9731
I 1.0990 1.1433 7.2613
I 0.8442 -6.6057 -1.0292
I -2.9404 -6.0251 0.6775
I 1.9933 -2.4523 5.2544
Nd 0.0000 0.0000 0.0000
Pm 0.8761 -3.5962 -2.0145
Pm -3.8085 0.5843 1.7175
Pm -2.9323 -3.0119 -0.2971
```

=====

Here is an optimized crystal structure of BaCa2BiTe from Alexandria via LeMat-Bulk. Energies are from PBE.

As for the space-group type: No. 123. The crystal system is tetragonal. The uncorrected formation energy is -0.600 eV/atom.

extended XYZ file:
```
5
Lattice="-3.7581 4.5393 0.0162 -3.5270 -2.9381 5.0759 3.3736 2.7789 3.9527" Properties=species:S:1:pos:R:3 pbc="T T T"
Ca -1.8790 2.2696 0.0081
Ca 1.6868 1.3895 1.9764
Te -1.9557 2.1900 4.5224
Bi 0.0000 0.0000 0.0000
Ba -1.7635 -1.4691 2.5380
```

=====

Here is an optimized crystal structure of LaTc3 from Alexandria via LeMat-Bulk. Energies are from PBE.

As for the space-group type: No. 194. As for the formation energy: 1.6 eV/f.u. The crystal system is hexagonal.

extended XYZ file:
```
8
Lattice="-6.5229 -2.0449 -0.5400 5.0423 -4.6424 0.2100 -0.3022 -0.1393 4.1785" Properties=species:S:1:pos:R:3 pbc="T T T"
Tc 3.3413 -4.4157 3.2483
Tc -0.6869 -5.6786 2.9148
Tc 0.2274 -1.5487 3.1186
Tc -2.0101 -5.2778 0.7300
Tc -5.1241 -2.4109 0.6003
Tc -1.0958 -1.1480 0.9337
La 1.1117 -3.8114 1.0046
La -2.8945 -3.0152 2.8439
```